The following is a PBE calculation of a relaxed structure of ScTl2CdF6, from the Alexandria database.

Geometry as CIF:
```
data_ScTl2CdF6
_cell_length_a 6.3564
_cell_length_b 6.3557
_cell_length_c 8.9974
_cell_angle_alpha 90.00
_cell_angle_beta 90.00
_cell_angle_gamma 90.00
_symmetry_space_group_name_H-M 'P 1'
_symmetry_Int_Tables_number 1
loop_
_symmetry_equiv_pos_as_xyz
'x,y,z'
loop_
_atom_site_label
_atom_site_fract_x
_atom_site_fract_y
_atom_site_fract_z
_atom_site_occupancy
F1 0.7271 0.4761 0.5000 1
F2 0.2272 0.9786 0.0000 1
F3 0.7729 0.5239 0.0000 1
F4 0.2271 0.5239 0.0000 1
F5 0.7272 0.0214 0.5000 1
F6 0.0000 0.7511 0.2271 1
F7 0.7728 0.9786 0.0000 1
F8 0.2729 0.4761 0.5000 1
F9 0.5000 0.2489 0.2729 1
F10 0.5000 0.2489 0.7271 1
F11 0.2728 0.0214 0.5000 1
F12 0.0000 0.7511 0.7729 1
Sc1 0.5000 0.2487 0.5000 1
Sc2 0.0000 0.7513 0.0000 1
Tl1 0.5000 0.7492 0.2501 1
Tl2 0.0000 0.2508 0.7501 1
Tl3 0.0000 0.2508 0.2499 1
Tl4 0.5000 0.7492 0.7499 1
Cd1 0.0000 0.7492 0.5000 1
Cd2 0.5000 0.2508 0.0000 1
```

## Properties
Electronic total energy = -4.865 eV/atom
Total moment = 0.000 μB per cell

The following is a PBE calculation of a relaxed structure of ScTl2Cd3F12, from the Alexandria database.

Geometry as CIF:
```
data_ScTl2Cd3F12
_cell_length_a 7.9979
_cell_length_b 7.9979
_cell_length_c 7.9979
_cell_angle_alpha 57.58
_cell_angle_beta 57.58
_cell_angle_gamma 57.58
_symmetry_space_group_name_H-M 'P 1'
_symmetry_Int_Tables_number 1
loop_
_symmetry_equiv_pos_as_xyz
'x,y,z'
loop_
_atom_site_label
_atom_site_fract_x
_atom_site_fract_y
_atom_site_fract_z
_atom_site_occupancy
F1 0.9375 0.9375 0.3047 1
F2 0.3047 0.9375 0.9375 1
F3 0.0625 0.6953 0.0625 1
F4 0.6403 0.6403 0.1096 1
F5 0.0625 0.0625 0.6953 1
F6 0.6953 0.0625 0.0625 1
F7 0.3597 0.8904 0.3597 1
F8 0.6403 0.1096 0.6403 1
F9 0.1096 0.6403 0.6403 1
F10 0.9375 0.3047 0.9375 1
F11 0.3597 0.3597 0.8904 1
F12 0.8904 0.3597 0.3597 1
Cd1 0.0000 0.0000 0.5000 1
Cd2 0.0000 0.5000 0.0000 1
Cd3 0.5000 0.0000 0.0000 1
Tl1 0.5872 0.5872 0.5872 1
Tl2 0.4128 0.4128 0.4128 1
Sc1 0.0000 0.0000 0.0000 1
```

## Properties
Electronic total energy = -4.364 eV/atom
Total moment = 0.000 μB per cell

The following is a PBE calculation of a relaxed structure of Cd3Se2F, from the Alexandria database.

Geometry as CIF:
```
data_Cd3Se2F
_cell_length_a 4.3994
_cell_length_b 5.7925
_cell_length_c 7.3091
_cell_angle_alpha 113.34
_cell_angle_beta 107.51
_cell_angle_gamma 90.00
_symmetry_space_group_name_H-M 'P 1'
_symmetry_Int_Tables_number 1
loop_
_symmetry_equiv_pos_as_xyz
'x,y,z'
loop_
_atom_site_label
_atom_site_fract_x
_atom_site_fract_y
_atom_site_fract_z
_atom_site_occupancy
Cd1 0.3381 0.3099 0.6762 1
Cd2 0.6619 0.6337 0.3238 1
Cd3 0.0000 0.0667 0.0000 1
Se1 0.1568 0.8919 0.3137 1
Se2 0.8432 0.5782 0.6863 1
F1 0.5000 0.2625 0.0000 1
```

## Properties
Electronic total energy = -2.732 eV/atom
Total moment = 0.000 μB per cell

> electronic total energy of number 3 (Cd3Se2F)?

-2.732 eV/atom

> electronic total energy of number 2 (ScTl2Cd3F12)?

-4.364 eV/atom